This record from Alexandria describes an optimized crystal structure of NpSe2Br. The functional is PBE-GGA.

Geometry as POSCAR:
```
NpSe2Br
1.0
3.9557 0.0000 0.0000
0.0000 14.4688 0.0000
0.0000 0.0000 8.3988
Np Se Br
4 8 4
Direct
0.0000 0.2338 0.2500 Np
0.0000 0.7662 0.7500 Np
0.5000 0.2662 0.7500 Np
0.5000 0.7338 0.2500 Np
0.0000 0.1642 0.5800 Se
0.0000 0.1642 0.9200 Se
0.0000 0.8358 0.0800 Se
0.0000 0.8358 0.4200 Se
0.5000 0.3358 0.0800 Se
0.5000 0.3358 0.4200 Se
0.5000 0.6642 0.5800 Se
0.5000 0.6642 0.9200 Se
0.0000 0.4105 0.7500 Br
0.0000 0.5895 0.2500 Br
0.5000 0.0895 0.2500 Br
0.5000 0.9105 0.7500 Br
```

Properties
The calculation puts the magnetic moment at 2.54 μB per formula unit. The value obtained for the volume is 30.0 Å³ per atom. The value obtained for the calculated total energy is -0.4623 Ry per atom.

***

This record from Alexandria describes an optimized crystal structure of NpSe2Br4. The functional is PBE-GGA.

Geometry as POSCAR:
```
NpSe2Br4
1.0
18.1822 0.0000 0.0000
0.0000 4.0763 0.0000
-0.4806 0.0000 7.8189
Np Se Br
2 4 8
Direct
0.0000 0.0000 0.0000 Np
0.5000 0.5000 0.0000 Np
0.2481 0.5000 0.5812 Se
0.2519 0.0000 0.4188 Se
0.7481 0.0000 0.5812 Se
0.7519 0.5000 0.4188 Se
0.0315 0.5000 0.2493 Br
0.1418 0.0000 0.9231 Br
0.3582 0.5000 0.0769 Br
0.4685 0.0000 0.7507 Br
0.5315 0.0000 0.2493 Br
0.6418 0.5000 0.9231 Br
0.8582 0.0000 0.0769 Br
0.9685 0.5000 0.7507 Br
```

Properties
The calculation puts the magnetic moment at 3.18 μB per formula unit. The value obtained for the volume is 41.4 Å³ per atom. The value obtained for the calculated total energy is -0.3370 Ry per atom.

***

This record from Alexandria describes an optimized crystal structure of NpSe6Br12. The functional is PBE-GGA.

Geometry as POSCAR:
```
NpSe6Br12
1.0
5.7701 3.3314 6.9741
-5.7701 3.3314 6.9741
0.0000 -6.6627 6.9741
Np Se Br
1 6 12
Direct
0.0000 0.0000 0.0000 Np
0.1647 0.3379 0.4104 Se
0.3379 0.4104 0.1647 Se
0.4104 0.1647 0.3379 Se
0.5896 0.8353 0.6621 Se
0.6621 0.5896 0.8353 Se
0.8353 0.6621 0.5896 Se
0.0783 0.8838 0.2576 Br
0.0973 0.5295 0.6271 Br
0.1162 0.7424 0.9217 Br
0.2576 0.0783 0.8838 Br
0.3729 0.9027 0.4705 Br
0.4705 0.3729 0.9027 Br
0.5294 0.6271 0.0973 Br
0.6271 0.0973 0.5294 Br
0.7424 0.9217 0.1162 Br
0.8838 0.2576 0.0783 Br
0.9027 0.4706 0.3729 Br
0.9217 0.1162 0.7424 Br
```

Properties
The calculation puts the magnetic moment at 1.27 μB per formula unit. The value obtained for the volume is 42.3 Å³ per atom. The value obtained for the calculated total energy is -0.2302 Ry per atom.

***

This record from Alexandria describes an optimized crystal structure of NpSeBr. The functional is PBE-GGA.

Geometry as POSCAR:
```
NpSeBr
1.0
4.2000 0.0000 0.0000
-2.1000 3.6373 0.0000
0.0000 0.0000 6.7667
Np Se Br
1 1 1
Direct
0.0000 0.0000 0.0000 Np
0.6667 0.3333 0.2128 Se
0.3333 0.6667 0.7402 Br
```

Properties
The calculation puts the magnetic moment at 4.00 μB per formula unit. The value obtained for the volume is 34.5 Å³ per atom. The value obtained for the calculated total energy is -0.5269 Ry per atom.

***

This record from Alexandria describes an optimized crystal structure of NpSe2Br5. The functional is PBE-GGA.

Geometry as POSCAR:
```
NpSe2Br5
1.0
5.6922 0.0000 0.0000
-2.5989 7.1189 0.0000
-1.8386 -2.6483 8.2835
Np Se Br
1 2 5
Direct
0.0000 0.0000 0.0000 Np
0.4167 0.8411 0.4554 Se
0.5833 0.1589 0.5446 Se
0.0693 0.2809 0.8462 Br
0.2351 0.2856 0.2932 Br
0.5000 0.0000 0.0000 Br
0.7649 0.7144 0.7068 Br
0.9307 0.7191 0.1538 Br
```

Properties
The calculation puts the magnetic moment at 4.03 μB per formula unit. The value obtained for the volume is 42.0 Å³ per atom. The value obtained for the calculated total energy is -0.3105 Ry per atom.

***

This record from Alexandria describes an optimized crystal structure of NpSe2Br2. The functional is PBE-GGA.

Geometry as POSCAR:
```
NpSe2Br2
1.0
3.6350 -6.4939 0.0000
3.6350 6.4939 0.0000
-1.5129 0.0000 7.3887
Np Se Br
2 4 4
Direct
0.1501 0.8499 0.0000 Np
0.8499 0.1501 0.0000 Np
0.0712 0.0712 0.2967 Se
0.2969 0.2969 0.1147 Se
0.7031 0.7031 0.8853 Se
0.9288 0.9288 0.7033 Se
0.0590 0.4687 0.7706 Br
0.4687 0.0590 0.7706 Br
0.5313 0.9410 0.2294 Br
0.9410 0.5313 0.2294 Br
```

Properties
The calculation puts the magnetic moment at 3.00 μB per formula unit. The value obtained for the volume is 34.9 Å³ per atom. The value obtained for the calculated total energy is -0.4133 Ry per atom.

***

This record from Alexandria describes an optimized crystal structure of NpSeBr3. The functional is PBE-GGA.

Geometry as POSCAR:
```
NpSeBr3
1.0
3.8307 -7.2271 0.0000
3.8307 7.2271 0.0000
-1.1955 0.0000 14.5178
Np Se Br
4 4 12
Direct
0.0313 0.1323 0.1365 Np
0.1323 0.0313 0.6365 Np
0.8677 0.9687 0.3635 Np
0.9687 0.8677 0.8635 Np
0.0450 0.6692 0.7164 Se
0.3308 0.9550 0.7836 Se
0.6692 0.0450 0.2164 Se
0.9550 0.3308 0.2836 Se
0.0022 0.7736 0.4719 Br
0.1752 0.2705 0.7955 Br
0.2264 0.9978 0.0281 Br
0.2661 0.4972 0.0802 Br
0.2705 0.1752 0.2955 Br
0.4972 0.2661 0.5802 Br
0.5028 0.7339 0.4198 Br
0.7295 0.8248 0.7045 Br
0.7339 0.5028 0.9198 Br
0.7736 0.0022 0.9719 Br
0.8248 0.7295 0.2045 Br
0.9978 0.2264 0.5281 Br
```

Properties
The calculation puts the magnetic moment at 3.00 μB per formula unit. The value obtained for the volume is 40.2 Å³ per atom. The value obtained for the calculated total energy is -0.3924 Ry per atom.

***

This record from Alexandria describes an optimized crystal structure of NpSeBr3. The functional is PBE-GGA.

Geometry as POSCAR:
```
NpSeBr3
1.0
7.4264 0.0000 0.0000
0.0000 7.4921 0.0000
-1.8889 0.0000 14.3342
Np Se Br
4 4 12
Direct
0.0787 0.1144 0.1362 Np
0.0787 0.8856 0.6362 Np
0.9213 0.1144 0.3638 Np
0.9213 0.8856 0.8638 Np
0.1474 0.3796 0.2888 Se
0.1474 0.6204 0.7888 Se
0.8526 0.3796 0.2112 Se
0.8526 0.6204 0.7112 Se
0.1360 0.2080 0.5355 Br
0.1360 0.7920 0.0355 Br
0.2305 0.0752 0.8011 Br
0.2305 0.9248 0.3011 Br
0.3736 0.2649 0.0803 Br
0.3736 0.7351 0.5803 Br
0.6264 0.2649 0.4197 Br
0.6264 0.7351 0.9197 Br
0.7695 0.0752 0.6989 Br
0.7695 0.9248 0.1989 Br
0.8640 0.2080 0.9645 Br
0.8640 0.7920 0.4645 Br
```

Properties
The calculation puts the magnetic moment at 3.00 μB per formula unit. The value obtained for the volume is 39.9 Å³ per atom. The value obtained for the calculated total energy is -0.3923 Ry per atom.

***

This record from Alexandria describes an optimized crystal structure of NpSeBr. The functional is PBE-GGA.

Geometry as POSCAR:
```
NpSeBr
1.0
7.0039 0.0000 0.0000
0.0000 7.0039 0.0000
0.0000 0.0000 7.0039
Np Se Br
4 4 4
Direct
0.0000 0.0000 0.0000 Np
0.0000 0.5000 0.5000 Np
0.5000 0.0000 0.5000 Np
0.5000 0.5000 0.0000 Np
0.2500 0.2500 0.2500 Se
0.2500 0.7500 0.7500 Se
0.7500 0.2500 0.7500 Se
0.7500 0.7500 0.2500 Se
0.2500 0.2500 0.7500 Br
0.2500 0.7500 0.2500 Br
0.7500 0.2500 0.2500 Br
0.7500 0.7500 0.7500 Br
```

Properties
The calculation puts the magnetic moment at 4.00 μB per formula unit. The value obtained for the volume is 28.6 Å³ per atom. The value obtained for the calculated total energy is -0.5239 Ry per atom.

***

This record from Alexandria describes an optimized crystal structure of NpTl2Se2Br2. The functional is PBE-GGA.

Geometry as POSCAR:
```
NpTl2Se2Br2
1.0
5.5285 0.0000 0.0000
0.0000 5.5285 0.0000
0.0000 0.0000 16.6751
Np Tl Se Br
2 4 4 4
Direct
0.0000 0.0000 0.0000 Np
0.5000 0.5000 0.5000 Np
0.0000 0.0000 0.3766 Tl
0.0000 0.0000 0.6234 Tl
0.5000 0.5000 0.1234 Tl
0.5000 0.5000 0.8766 Tl
0.0000 0.5000 0.0000 Se
0.0000 0.5000 0.5000 Se
0.5000 0.0000 0.0000 Se
0.5000 0.0000 0.5000 Se
0.0000 0.0000 0.1686 Br
0.0000 0.0000 0.8314 Br
0.5000 0.5000 0.3314 Br
0.5000 0.5000 0.6686 Br
```

Properties
The calculation puts the magnetic moment at 3.00 μB per formula unit. The value obtained for the volume is 36.4 Å³ per atom. The value obtained for the calculated total energy is -0.3597 Ry per atom.

***

This record from Alexandria describes an optimized crystal structure of NpSnBr6. The functional is PBE-GGA.

Geometry as POSCAR:
```
NpSnBr6
1.0
7.1716 0.0000 0.0000
3.5832 6.2143 0.0000
3.5852 2.0658 6.5630
Np Sn Br
1 1 6
Direct
0.0000 0.0000 0.0000 Np
0.5000 0.5000 0.5000 Sn
0.0759 0.7658 0.7567 Br
0.2345 0.5989 0.2429 Br
0.4013 0.0764 0.7567 Br
0.5987 0.9236 0.2433 Br
0.7655 0.4011 0.7571 Br
0.9241 0.2342 0.2433 Br
```

Properties
The calculation puts the magnetic moment at 3.00 μB per formula unit. The value obtained for the volume is 36.6 Å³ per atom. The distance to the lowest polymorph of the same formula is 0.08 eV per formula unit.